1.
Below is a geometry-optimized RbAlCoAu2 structure, with properties calculated at the PBE-GGA level.

## Properties
electronic total energy: -1.96 eV/atom
crystal system: tetragonal

Cell lengths 5.867, 5.867, 4.794 Å; angles 90.00, 90.00, 90.00 degrees
Space group P4/mmm (No. 123)
Symmetry-distinct sites (fractional):
Rb 0.000 0.000 0.000
Al 0.500 0.500 0.500
Co 0.000 0.000 0.500
Au 0.000 0.500 0.000


2.
Below is a geometry-optimized K2InAu structure, with properties calculated at the PBE-GGA level.

## Properties
electronic total energy: -2.07 eV/atom
crystal system: trigonal

Cell lengths 4.0596, 4.0596, 31.6307 Å; angles 90.00, 90.00, 120.00 degrees
Space group R-3m (No. 166, hexagonal axes)
Symmetry-distinct sites (fractional):
K 0.0000 0.0000 0.2384
In 0.0000 0.0000 0.0000
Au 0.0000 0.0000 0.5000


3.
Below is a geometry-optimized U4Se5N structure, with properties calculated at the PBE-GGA level.

## Properties
electronic total energy: -8.13 eV/atom
formation energy without anion corrections: -1.038 eV/atom
crystal system: monoclinic

Cell lengths 17.029, 3.896, 7.572 Å; angles 90.00, 103.30, 90.00 degrees
Space group C2/m (No. 12)
Symmetry-distinct sites (fractional):
U 0.004 0.000 0.285
U 0.148 0.500 0.575
Se 0.000 0.500 0.000
Se 0.164 0.000 0.844
Se 0.176 0.000 0.321
N 0.000 0.500 0.500


4.
Below is a geometry-optimized CsEr6Te8 structure, with properties calculated at the PBE-GGA level.

## Properties
electronic total energy: -4.80 eV/atom
formation energy without anion corrections: -1.242 eV/atom
polymorph energy (0 for the lowest one): 88 meV per atom
crystal system: trigonal

Cell lengths 11.9336, 11.9336, 14.5254 Å; angles 90.00, 90.00, 120.00 degrees
Space group R-3 (No. 148, hexagonal axes)
Symmetry-distinct sites (fractional):
Cs 0.0000 0.0000 0.0000
Er 0.0089 0.8216 0.3917
Te 0.0000 0.0000 0.2536
Te 0.0179 0.7150 0.5827


5.
Below is a geometry-optimized HfPtRh3 structure, with properties calculated at the PBE-GGA level.

## Properties
electronic total energy: -6.57 eV/atom
polymorph energy (0 for the lowest one): 1574 meV per atom
crystal system: cubic

Cell lengths 4.685, 4.685, 4.685 Å; angles 90.00, 90.00, 90.00 degrees
Space group Pm-3m (No. 221)
Symmetry-distinct sites (fractional):
Hf 0.000 0.000 0.000
Pt 0.500 0.500 0.500
Rh 0.000 0.000 0.500


6.
Below is a geometry-optimized InAgSn structure, with properties calculated at the PBE-GGA level.

## Properties
electronic total energy: -3.17 eV/atom
crystal system: triclinic

Cell lengths 3.286, 6.577, 6.742 Å; angles 83.33, 89.70, 89.69 degrees
Space group P-1 (No. 2)
Symmetry-distinct sites (fractional):
In 0.248 0.363 0.353
Ag 0.248 0.682 0.002
Sn 0.259 0.081 0.749


7.
Below is a geometry-optimized CoPbS2N structure, with properties calculated at the PBE-GGA level.

## Properties
electronic total energy: -3.85 eV/atom
formation energy without anion corrections: 1.633 eV/atom
polymorph energy (0 for the lowest one): 1429 meV per atom
crystal system: tetragonal

Cell lengths 5.204, 5.204, 4.219 Å; angles 90.00, 90.00, 90.00 degrees
Space group P4/mmm (No. 123)
Symmetry-distinct sites (fractional):
Co 0.000 0.000 0.000
Pb 0.500 0.500 0.500
S 0.000 0.500 0.500
N 0.500 0.500 0.000


8.
Below is a geometry-optimized PrEr5Tm2Th structure, with properties calculated at the PBE-GGA level.

## Properties
electronic total energy: -4.71 eV/atom
crystal system: orthorhombic

Cell lengths 5.684, 21.154, 9.654 Å; angles 90.00, 90.00, 90.00 degrees
Space group Cmc2_1 (No. 36)
Symmetry-distinct sites (fractional):
Pr 0.000 0.095 0.000
Er 0.000 0.029 0.680
Er 0.000 0.107 0.386
Er 0.000 0.194 0.705
Er 0.000 0.234 0.086
Er 0.000 0.487 0.403
Tm 0.000 0.365 0.717
Tm 0.000 0.388 0.098
Th 0.000 0.308 0.397


9.
Below is a geometry-optimized Sr2MnGeAu6 structure, with properties calculated at the PBE-GGA level.

## Properties
electronic total energy: -4.03 eV/atom
crystal system: triclinic

Cell lengths 6.907, 6.919, 6.960 Å; angles 60.54, 61.72, 60.77 degrees
Space group P-1 (No. 2)
Symmetry-distinct sites (fractional):
Sr 0.209 0.211 0.376
Mn 0.500 0.500 0.500
Ge 0.000 0.000 0.000
Au 0.186 0.314 0.835
Au 0.302 0.666 0.837
Au 0.353 0.813 0.146


10.
Below is a geometry-optimized TbSc2Ti structure, with properties calculated at the PBE-GGA level.

## Properties
electronic total energy: -6.16 eV/atom
polymorph energy (0 for the lowest one): 0 meV per atom
crystal system: tetragonal

Cell lengths 3.563, 3.563, 7.775 Å; angles 90.00, 90.00, 90.00 degrees
Space group P4/mmm (No. 123)
Symmetry-distinct sites (fractional):
Tb 0.000 0.000 0.000
Sc 0.500 0.500 0.295
Ti 0.000 0.000 0.500


11.
Below is a geometry-optimized KInSe3 structure, with properties calculated at the PBE-GGA level.

## Properties
electronic total energy: -2.27 eV/atom
formation energy without anion corrections: 0.585 eV/atom
polymorph energy (0 for the lowest one): 870 meV per atom
crystal system: cubic

Cell lengths 5.951, 5.951, 5.951 Å; angles 90.00, 90.00, 90.00 degrees
Space group Pm-3m (No. 221)
Symmetry-distinct sites (fractional):
K 0.000 0.000 0.000
In 0.500 0.500 0.500
Se 0.000 0.000 0.500


12.
Below is a geometry-optimized Tb5DyHo3 structure, with properties calculated at the PBE-GGA level.

## Properties
electronic total energy: -3.89 eV/atom
polymorph energy (0 for the lowest one): 206 meV per atom
crystal system: monoclinic

Cell lengths 17.138, 7.637, 10.813 Å; angles 90.00, 108.47, 90.00 degrees
Space group C2/c (No. 15)
Symmetry-distinct sites (fractional):
Tb 0.000 0.246 0.250
Tb 0.166 0.248 0.083
Tb 0.167 0.253 0.579
Dy 0.000 0.254 0.750
Ho 0.000 0.500 0.000
Ho 0.167 0.005 0.831